First-principles (PBEsol) data for a relaxed structure of NiSe2Cl, as listed in Alexandria via LeMat-Bulk.

## Properties
For the uncorrected energy, the calculation gives -4.260 eV per atom. The value obtained for the excess energy over the best structure of this formula in the dataset is 2.9 kJ/mol of atoms. As for the formation energy from raw total energies: -0.29 eV per atom.

Unit cell a=3.5713 b=3.5713 c=19.7418 alpha=90.00 beta=90.00 gamma=120.00
Space group R-3m (No. 166, hexagonal axes)
One atom of each set of equivalent atoms:
Ni 0.0000 0.0000 0.0000 [3 per cell]
Se 0.0000 0.0000 0.2754 [6 per cell]
Cl 0.0000 0.0000 0.5000 [3 per cell]



First-principles (PBEsol) data for a relaxed structure of NiSe2Cl, as listed in Alexandria via LeMat-Bulk.

## Properties
For the uncorrected energy, the calculation gives -4.269 eV per atom. The value obtained for the excess energy over the best structure of this formula in the dataset is 2.1 kJ/mol of atoms. As for the formation energy from raw total energies: -0.30 eV per atom.

Unit cell a=6.275 b=3.548 c=6.750 alpha=90.00 beta=97.33 gamma=90.00
Space group C2/m (No. 12)
One atom of each set of equivalent atoms:
Ni 0.000 0.000 0.000 [2 per cell]
Se 0.185 0.500 0.173 [4 per cell]
Cl 0.000 0.500 0.500 [2 per cell]



First-principles (PBEsol) data for a relaxed structure of NiSeCl2, as listed in Alexandria via LeMat-Bulk.

## Properties
For the uncorrected energy, the calculation gives -3.884 eV per atom. The value obtained for the excess energy over the best structure of this formula in the dataset is 0.0 kJ/mol of atoms. As for the formation energy from raw total energies: -0.38 eV per atom.

Unit cell a=6.526 b=3.323 c=7.502 alpha=90.00 beta=98.77 gamma=90.00
Space group Cm (No. 8)
One atom of each set of equivalent atoms:
Ni 0.000 0.000 0.000 [2 per cell]
Se 0.319 0.000 0.831 [2 per cell]
Cl 0.148 0.500 0.173 [2 per cell]
Cl 0.462 0.000 0.571 [2 per cell]



First-principles (PBEsol) data for a relaxed structure of NiSeCl2, as listed in Alexandria via LeMat-Bulk.

## Properties
For the uncorrected energy, the calculation gives -3.484 eV per atom. The value obtained for the excess energy over the best structure of this formula in the dataset is 38.6 kJ/mol of atoms. As for the formation energy from raw total energies: 0.02 eV per atom.

Unit cell a=2.901 b=6.141 c=9.596 alpha=90.00 beta=90.00 gamma=90.00
Space group Immm (No. 71)
One atom of each set of equivalent atoms:
Ni 0.000 0.000 0.000 [2 per cell]
Se 0.000 0.000 0.500 [2 per cell]
Cl 0.000 0.500 0.335 [4 per cell]



First-principles (PBEsol) data for a relaxed structure of SiNiCl, as listed in Alexandria via LeMat-Bulk.

## Properties
For the uncorrected energy, the calculation gives -3.667 eV per atom. The value obtained for the excess energy over the best structure of this formula in the dataset is 132.1 kJ/mol of atoms. As for the formation energy from raw total energies: 0.97 eV per atom.

Unit cell a=5.835 b=5.835 c=5.835 alpha=90.00 beta=90.00 gamma=90.00
Space group F-43m (No. 216)
One atom of each set of equivalent atoms:
Si 0.000 0.000 0.000 [4 per cell]
Ni 0.000 0.000 0.500 [4 per cell]
Cl 0.250 0.250 0.250 [4 per cell]



First-principles (PBEsol) data for a relaxed structure of SiNiCl, as listed in Alexandria via LeMat-Bulk.

## Properties
For the uncorrected energy, the calculation gives -5.036 eV per atom. The value obtained for the excess energy over the best structure of this formula in the dataset is 0.0 kJ/mol of atoms. As for the formation energy from raw total energies: -0.40 eV per atom.

Unit cell a=2.993 b=2.993 c=10.571 alpha=90.00 beta=90.00 gamma=90.00
Space group I4mm (No. 107)
One atom of each set of equivalent atoms:
Si 0.000 0.000 0.000 [2 per cell]
Ni 0.000 0.000 0.583 [2 per cell]
Cl 0.000 0.000 0.800 [2 per cell]